Entry 1:
A plane-wave DFT calculation with GGA-PBE was carried out for a relaxed Te2AuBr crystal.

The value obtained for the size of the total moment is 0.00 μB/f.u. The value obtained for the formation energy without anion corrections is 0.1414 eV/atom. The total energy is -2.67 eV per atom. The space-group type is No. 10. The calculation puts the density of states at the Fermi level at 2.09 states/eV/cell.

a b c (Å): 4.1598 7.6038 4.2610
angles (deg): 90.00 90.00 56.57
With the nearest neighbours (Å) after each atom.
Positions (direct):
Au 0.5000 0.0000 0.5000  4 Te 2.98, 2 Br 3.17
Te 0.5000 0.5000 0.0000  4 Br 2.98, 2 Te 3.17
Te 0.0000 0.0000 0.0000  4 Au 2.98, 2 Te 3.17
Br 0.0000 0.5000 0.5000  4 Te 2.98, 2 Au 3.17



Entry 2:
A plane-wave DFT calculation with GGA-PBE was carried out for a relaxed TeAuBr crystal.

The value obtained for the size of the total moment is 0.00 μB/f.u. The value obtained for the formation energy without anion corrections is 0.3915 eV/atom. The total energy is -2.31 eV per atom. The space-group type is No. 216. The calculation puts the density of states at the Fermi level at 5.76 states/eV/cell.

a b c (Å): 4.9231 4.9231 4.9231
angles (deg): 60.00 60.00 60.00
With the nearest neighbours (Å) after each atom.
Positions (direct):
Te 0.5000 0.5000 0.5000  4 Au 3.01
Au 0.7500 0.7500 0.7500  4 Te 3.01, 4 Br 3.01
Br 0.0000 0.0000 0.0000  4 Au 3.01



Entry 3:
A plane-wave DFT calculation with GGA-PBE was carried out for a relaxed Te2AuBr crystal.

The value obtained for the size of the total moment is 0.00 μB/f.u. The value obtained for the formation energy without anion corrections is 0.3630 eV/atom. The total energy is -2.45 eV per atom. The space-group type is No. 225. The calculation puts the density of states at the Fermi level at 2.51 states/eV/cell.

a b c (Å): 5.1780 5.1780 5.1780
angles (deg): 60.00 60.00 60.00
With the nearest neighbours (Å) after each atom.
Positions (direct):
Te 0.7500 0.7500 0.7500  4 Au 3.17, 4 Br 3.17
Au 0.5000 0.5000 0.5000  8 Te 3.17
Te 0.2500 0.2500 0.2500  4 Au 3.17, 4 Br 3.17
Br 0.0000 0.0000 0.0000  8 Te 3.17



Entry 4:
A plane-wave DFT calculation with GGA-PBE was carried out for a relaxed TeAuBr2 crystal.

The value obtained for the size of the total moment is 0.00 μB/f.u. The value obtained for the formation energy without anion corrections is 0.1887 eV/atom. The total energy is -2.25 eV per atom. The space-group type is No. 12. The calculation puts the density of states at the Fermi level at 2.59 states/eV/cell.

a b c (Å): 5.2998 5.2947 5.3106
angles (deg): 65.98 79.12 113.94
With the nearest neighbours (Å) after each atom.
Positions (direct):
Te 0.0000 0.5000 0.5000  4 Br 2.89
Au 0.5000 0.5000 0.0000  4 Br 2.89
Br 0.5000 0.0000 0.5000  2 Au 2.89, 2 Te 2.89
Br 0.0000 0.0000 0.0000  2 Te 2.89, 2 Au 2.89



Entry 5:
A plane-wave DFT calculation with GGA-PBE was carried out for a relaxed TeAuBr2 crystal.

The value obtained for the size of the total moment is 0.00 μB/f.u. The value obtained for the formation energy without anion corrections is -0.1222 eV/atom. The total energy is -2.56 eV per atom. The space-group type is No. 6. The calculation puts the density of states at the Fermi level at 1.49 states/eV/cell.

a b c (Å): 3.8808 3.6142 9.5177
angles (deg): 105.71 90.00 90.00
With the nearest neighbours (Å) after each atom.
Positions (direct):
Au 0.5000 0.7075 0.7393  2 Br 2.60, 2 Te 2.69
Br 0.0000 0.8431 0.9288  2 Au 2.60
Te 0.0000 0.5611 0.5363  2 Au 2.69, 2 Br 2.94
Br 0.5000 0.3883 0.2955  2 Te 2.94



Entry 6:
A plane-wave DFT calculation with GGA-PBE was carried out for a relaxed TiTeAuBr2 crystal.

The value obtained for the size of the total moment is 0.28 μB/f.u. The value obtained for the formation energy without anion corrections is 0.7408 eV/atom. The total energy is -2.79 eV per atom. The space-group type is No. 123. The calculation puts the density of states at the Fermi level at 11.95 states/eV/cell.

a b c (Å): 5.7303 5.3022 5.7303
angles (deg): 90.00 90.00 90.00
With the nearest neighbours (Å) after each atom.
Positions (direct):
Br 0.5000 0.0000 0.0000  2 Te 2.87
Te 0.0000 0.0000 0.0000  2 Au 2.65, 4 Br 2.87
Au 0.0000 0.5000 0.0000  2 Te 2.65
Br 0.0000 0.0000 0.5000  2 Te 2.87
Ti 0.5000 0.5000 0.5000  8 Br 3.90, 4 Au 4.05



Entry 7:
A plane-wave DFT calculation with GGA-PBE was carried out for a relaxed ThAu2Br8 crystal.

The value obtained for the size of the total moment is 0.00 μB/f.u. The value obtained for the formation energy without anion corrections is -0.7187 eV/atom. The total energy is -3.21 eV per atom. The space-group type is No. 12. The calculation puts the density of states at the Fermi level at 5.34 states/eV/cell.

a b c (Å): 7.4823 7.7702 7.7702
angles (deg): 72.01 94.66 94.66
With the nearest neighbours (Å) after each atom.
Positions (direct):
Br 0.2640 0.5759 0.5759  1 Au 2.41
Br 0.2418 0.1134 0.7036  1 Au 2.59
Br 0.7703 0.8133 0.8133  1 Th 2.77
Br 0.2297 0.1867 0.1867  1 Th 2.77
Br 0.7582 0.8866 0.2964  1 Au 2.59
Au 0.2441 0.7658 0.7658  3 Br 2.41-2.59
Br 0.2418 0.7036 0.1134  1 Au 2.59
Th 0.0000 0.0000 0.0000  6 Br 2.77-2.92
Br 0.7582 0.2964 0.8866  1 Au 2.59
Br 0.7360 0.4241 0.4241  1 Au 2.41
Au 0.7559 0.2342 0.2342  3 Br 2.41-2.59



Entry 8:
A plane-wave DFT calculation with GGA-PBE was carried out for a relaxed Ti3AuBr crystal.

The value obtained for the size of the total moment is 2.12 μB/f.u. The value obtained for the formation energy without anion corrections is 0.4162 eV/atom. The total energy is -5.31 eV per atom. The space-group type is No. 221. The calculation puts the density of states at the Fermi level at 9.53 states/eV/cell.

a b c (Å): 4.6375 4.6375 4.6375
angles (deg): 90.00 90.00 90.00
With the nearest neighbours (Å) after each atom.
Positions (direct):
Ti 0.5000 0.0000 0.0000  2 Br 2.32
Ti 0.0000 0.5000 0.0000  2 Br 2.32
Ti 0.0000 0.0000 0.5000  2 Br 2.32
Au 0.5000 0.5000 0.5000  12 Ti 3.28
Br 0.0000 0.0000 0.0000  6 Ti 2.32



Entry 9:
A plane-wave DFT calculation with GGA-PBE was carried out for a relaxed Ti3AuBr crystal.

The value obtained for the size of the total moment is 4.00 μB/f.u. The value obtained for the formation energy without anion corrections is 0.6550 eV/atom. The total energy is -5.07 eV per atom. The space-group type is No. 221. The calculation puts the density of states at the Fermi level at 3.96 states/eV/cell.

a b c (Å): 5.0394 5.0394 5.0394
angles (deg): 90.00 90.00 90.00
With the nearest neighbours (Å) after each atom.
Positions (direct):
Ti 0.0000 0.5000 0.0000  2 Au 2.52
Br 0.5000 0.5000 0.5000  12 Ti 3.56
Ti 0.5000 0.0000 0.0000  2 Au 2.52
Ti 0.0000 0.0000 0.5000  2 Au 2.52
Au 0.0000 0.0000 0.0000  6 Ti 2.52



Entry 10:
A plane-wave DFT calculation with GGA-PBE was carried out for a relaxed TiAu2Br2 crystal.

The value obtained for the size of the total moment is 1.72 μB/f.u. The value obtained for the formation energy without anion corrections is 0.2699 eV/atom. The total energy is -3.29 eV per atom. The space-group type is No. 127. The calculation puts the density of states at the Fermi level at 10.39 states/eV/cell.

a b c (Å): 7.0713 7.0713 4.7419
angles (deg): 90.00 90.00 90.00
With the nearest neighbours (Å) after each atom.
Positions (direct):
Br 0.7085 0.7915 0.5000  2 Au 2.85
Ti 0.0000 0.0000 0.0000  4 Au 2.76
Br 0.2915 0.2085 0.5000  2 Au 2.85
Au 0.6333 0.1333 0.0000  1 Au 2.67, 2 Ti 2.76, 2 Br 2.85
Br 0.7915 0.2915 0.5000  2 Au 2.85
Br 0.2085 0.7085 0.5000  2 Au 2.85
Au 0.1333 0.3667 0.0000  1 Au 2.67, 2 Ti 2.76, 2 Br 2.85
Au 0.8667 0.6333 0.0000  1 Au 2.67, 2 Ti 2.76, 2 Br 2.85
Ti 0.5000 0.5000 0.0000  4 Au 2.76
Au 0.3667 0.8667 0.0000  1 Au 2.67, 2 Ti 2.76, 2 Br 2.85



Entry 11:
A plane-wave DFT calculation with GGA-PBE was carried out for a relaxed TiAu2Br crystal.

The value obtained for the size of the total moment is 0.94 μB/f.u. The value obtained for the formation energy without anion corrections is -0.0179 eV/atom. The total energy is -4.05 eV per atom. The space-group type is No. 122. The calculation puts the density of states at the Fermi level at 8.64 states/eV/cell.

a b c (Å): 8.1871 8.1871 6.3546
angles (deg): 49.90 49.90 90.00
With the nearest neighbours (Å) after each atom.
Positions (direct):
Ti 0.2500 0.7500 0.5000  2 Br 2.62, 4 Au 2.72
Au 0.8750 0.8296 0.7500  2 Au 2.72, 2 Ti 2.72
Au 0.5796 0.1250 0.2500  2 Au 2.72, 2 Ti 2.72
Ti 0.5000 0.5000 0.0000  2 Br 2.62, 4 Au 2.72
Au 0.3750 0.4204 0.7500  2 Au 2.72, 2 Ti 2.72
Br 0.7500 0.2500 0.5000  2 Ti 2.62
Au 0.1704 0.6250 0.2500  2 Au 2.72, 2 Ti 2.72
Br 0.0000 0.0000 0.0000  2 Ti 2.62



Entry 12:
A plane-wave DFT calculation with GGA-PBE was carried out for a relaxed TiAuBr3 crystal.

The value obtained for the size of the total moment is 0.00 μB/f.u. The value obtained for the formation energy without anion corrections is -0.2852 eV/atom. The total energy is -3.52 eV per atom. The space-group type is No. 221. The calculation puts the density of states at the Fermi level at 6.08 states/eV/cell.

a b c (Å): 5.0964 5.0964 5.0964
angles (deg): 90.00 90.00 90.00
With the nearest neighbours (Å) after each atom.
Positions (direct):
Br 0.5000 0.0000 0.0000  2 Ti 2.55
Br 0.0000 0.0000 0.5000  2 Ti 2.55
Br 0.0000 0.5000 0.0000  2 Ti 2.55
Ti 0.0000 0.0000 0.0000  6 Br 2.55
Au 0.5000 0.5000 0.5000  12 Br 3.60



Entry 13:
A plane-wave DFT calculation with GGA-PBE was carried out for a relaxed TiAu2Br crystal.

The value obtained for the size of the total moment is 0.00 μB/f.u. The value obtained for the formation energy without anion corrections is 0.2816 eV/atom. The total energy is -3.75 eV per atom. The space-group type is No. 225. The calculation puts the density of states at the Fermi level at 4.99 states/eV/cell.

a b c (Å): 4.8225 4.8225 4.8225
angles (deg): 60.00 60.00 60.00
With the nearest neighbours (Å) after each atom.
Positions (direct):
Ti 0.0000 0.0000 0.0000  8 Au 2.95
Br 0.5000 0.5000 0.5000  8 Au 2.95
Au 0.2500 0.2500 0.2500  4 Br 2.95, 4 Ti 2.95
Au 0.7500 0.7500 0.7500  4 Br 2.95, 4 Ti 2.95